1.
The following is a PBE-GGA calculation of a geometry-optimized RbCdAsO structure, from the Open Quantum Materials Database.

Lattice parameters (Å, degrees): 3.374 9.869 5.548 90.00 90.00 90.00
Space group Pmc2_1 (No. 26)
Inequivalent atoms, fractional coordinates:
Rb: 0.000 0.119 0.000
Cd: 0.500 0.294 0.498
As: 0.500 0.443 0.001
O: 0.000 0.157 0.500

Calculated values
distance to the lowest polymorph of the same formula	0.0	kJ/mol of atoms

***

2.
The following is a PBE-GGA calculation of a geometry-optimized RbCdAsO structure, from the Open Quantum Materials Database.

Lattice parameters (Å, degrees): 4.294 4.294 11.378 90.00 90.00 90.00
Space group P4/nmm (No. 129, origin choice 2)
Inequivalent atoms, fractional coordinates:
Rb: 0.250 0.250 0.146
Cd: 0.250 0.750 0.500
As: 0.250 0.250 0.653
O: 0.250 0.750 0.000

Calculated values
distance to the lowest polymorph of the same formula	55.7	kJ/mol of atoms

***

3.
The following is a PBE-GGA calculation of a geometry-optimized CdSbAsO structure, from the Open Quantum Materials Database.

Lattice parameters (Å, degrees): 4.529 6.181 6.068 90.00 90.00 90.00
Space group Pmc2_1 (No. 26)
Inequivalent atoms, fractional coordinates:
Cd: 0.000 0.173 0.000
Sb: 0.500 0.239 0.415
As: 0.500 0.331 0.847
O: 0.000 0.183 0.381

Calculated values
distance to the lowest polymorph of the same formula	2.9	kJ/mol of atoms

***

> Look up the distance to the lowest polymorph of the same formula of the second one.

55.7 kJ/mol of atoms